P:
VASP calculation (PBE with a Hubbard U) on an optimized crystal structure of NiIrF3. Values from VASP.

Structure (Quantum ESPRESSO input):
```
&SYSTEM
  ibrav = 0, nat = 5, ntyp = 3
/
ATOMIC_SPECIES
F 19.00 F.upf
Ir 192.22 Ir.upf
Ni 58.69 Ni.upf
CELL_PARAMETERS angstrom
4.197 0.000 0.000
0.000 4.197 0.000
0.000 0.000 4.197
ATOMIC_POSITIONS angstrom
F 0.000 0.000 2.099
F 0.000 2.099 0.000
Ir 0.000 0.000 0.000
F 2.099 0.000 0.000
Ni 2.099 2.099 2.099
```

Symmetry: Pm-3m (221)
D(E_F) (states/eV/cell): 9.08

Q:
VASP calculation (PBE with a Hubbard U) on an optimized crystal structure of NiIrF3. Values from VASP.

Structure (Quantum ESPRESSO input):
```
&SYSTEM
  ibrav = 0, nat = 5, ntyp = 3
/
ATOMIC_SPECIES
F 19.00 F.upf
Ir 192.22 Ir.upf
Ni 58.69 Ni.upf
CELL_PARAMETERS angstrom
-1.580 2.803 -2.403
1.894 -1.629 -3.145
-3.170 -2.370 -0.681
ATOMIC_POSITIONS angstrom
F 0.947 -0.814 -1.572
Ir -1.428 -0.598 -3.114
F -1.585 -1.185 -0.340
Ni 0.000 0.000 0.000
F -0.790 1.401 -1.202
```

Symmetry: Pm-3m (221)
D(E_F) (states/eV/cell): 4.91

Stability verdict: Q, ahead by 494 meV per atom

P:
VASP calculation (PBE with a Hubbard U) on an optimized crystal structure of Ni3IrF. Values from VASP.

Structure (Quantum ESPRESSO input):
```
&SYSTEM
  ibrav = 0, nat = 5, ntyp = 3
/
ATOMIC_SPECIES
Ni 58.69 Ni.upf
F 19.00 F.upf
Ir 192.22 Ir.upf
CELL_PARAMETERS angstrom
4.698 0.000 0.000
0.000 4.698 0.000
0.000 0.000 4.698
ATOMIC_POSITIONS angstrom
Ni 2.349 0.000 0.000
F 2.349 2.349 2.349
Ir 0.000 0.000 0.000
Ni 0.000 0.000 2.349
Ni 0.000 2.349 0.000
```

Symmetry: Pm-3m (221)
D(E_F) (states/eV/cell): 3.23

Q:
VASP calculation (PBE with a Hubbard U) on an optimized crystal structure of Ni3IrF. Values from VASP.

Structure (Quantum ESPRESSO input):
```
&SYSTEM
  ibrav = 0, nat = 5, ntyp = 3
/
ATOMIC_SPECIES
Ir 192.22 Ir.upf
Ni 58.69 Ni.upf
F 19.00 F.upf
CELL_PARAMETERS angstrom
-1.294 -2.844 2.507
3.202 0.598 2.331
-2.029 2.757 2.080
ATOMIC_POSITIONS angstrom
Ir -0.060 0.256 3.459
Ni 1.601 0.299 1.165
Ni -0.647 -1.422 1.253
Ni -1.015 1.378 1.040
F 0.000 0.000 0.000
```

Symmetry: Pm-3m (221)
D(E_F) (states/eV/cell): 2.10

Stability verdict: Q, ahead by 926 meV per atom

P:
VASP calculation (PBE with a Hubbard U) on an optimized crystal structure of NiIr2F. Values from VASP.

Structure (Quantum ESPRESSO input):
```
&SYSTEM
  ibrav = 0, nat = 4, ntyp = 3
/
ATOMIC_SPECIES
F 19.00 F.upf
Ir 192.22 Ir.upf
Ni 58.69 Ni.upf
CELL_PARAMETERS angstrom
0.000 2.953 2.953
2.953 0.000 2.953
2.953 2.953 0.000
ATOMIC_POSITIONS angstrom
F 0.000 0.000 0.000
Ir 1.476 1.476 1.476
Ni 2.953 2.953 2.953
Ir 4.429 4.429 4.429
```

Symmetry: Fm-3m (225)
D(E_F) (states/eV/cell): 3.57

Q:
VASP calculation (PBE with a Hubbard U) on an optimized crystal structure of NiIr2F. Values from VASP.

Structure (Quantum ESPRESSO input):
```
&SYSTEM
  ibrav = 0, nat = 8, ntyp = 3
/
ATOMIC_SPECIES
Ni 58.69 Ni.upf
Ir 192.22 Ir.upf
F 19.00 F.upf
CELL_PARAMETERS angstrom
-5.551 -1.695 3.106
2.479 -5.986 1.164
-0.586 -3.030 4.276
ATOMIC_POSITIONS angstrom
Ni 0.000 0.000 0.000
Ir -3.213 -8.788 6.903
Ir -3.115 -2.507 3.049
F -1.536 -3.841 2.135
Ni -3.837 -4.283 4.758
Ir 0.518 -4.769 2.292
F 0.179 -6.429 3.788
Ir -1.506 -5.359 4.848
```

Symmetry: I-42d (122)
D(E_F) (states/eV/cell): 9.00

Stability verdict: P, ahead by 292 meV per atom

P:
VASP calculation (PBE with a Hubbard U) on an optimized crystal structure of Ni2IrF. Values from VASP.

Structure (Quantum ESPRESSO input):
```
&SYSTEM
  ibrav = 0, nat = 8, ntyp = 3
/
ATOMIC_SPECIES
Ir 192.22 Ir.upf
F 19.00 F.upf
Ni 58.69 Ni.upf
CELL_PARAMETERS angstrom
-2.079 5.313 1.920
-5.306 -2.539 1.280
-2.706 0.751 4.427
ATOMIC_POSITIONS angstrom
Ir 0.000 0.000 0.000
F -5.852 -0.200 3.654
F -3.693 1.387 1.600
Ir -4.239 3.726 3.974
Ni -5.099 1.460 4.593
Ni -4.370 -0.435 2.256
Ni -8.192 3.134 6.049
Ni -2.522 2.891 2.359
```

Symmetry: I-42d (122)
D(E_F) (states/eV/cell): 3.63

Q:
VASP calculation (PBE with a Hubbard U) on an optimized crystal structure of Ni2IrF. Values from VASP.

Structure (Quantum ESPRESSO input):
```
&SYSTEM
  ibrav = 0, nat = 4, ntyp = 3
/
ATOMIC_SPECIES
Ni 58.69 Ni.upf
Ir 192.22 Ir.upf
F 19.00 F.upf
CELL_PARAMETERS angstrom
0.000 2.900 2.900
2.900 0.000 2.900
2.900 2.900 0.000
ATOMIC_POSITIONS angstrom
Ni 4.350 4.350 4.350
Ni 1.450 1.450 1.450
Ir 2.900 2.900 2.900
F 0.000 0.000 0.000
```

Symmetry: Fm-3m (225)
D(E_F) (states/eV/cell): 4.80

Stability verdict: P, ahead by 635 meV per atom